This record from the Alexandria database describes CoReNi2 at its PBEsol-relaxed geometry. The functional is SCAN.

N(E_F) = 0.79 states/eV per atom
energy above the most stable polymorph in this dataset = 0 kJ/mol of formula units
final energy = -120.5 eV/cell
theoretical density = 13.15 g/cm3
ΔE_f = 0.06 eV/atom

abc: 2.539 4.081 4.420
angles: 90.00 90.00 90.00
Sites, in units of the cell vectors:
Co 0.000 0.000 0.000
Re 0.000 0.500 0.319
Ni 0.500 0.000 0.509
Ni 0.500 0.500 0.821

This record from the Alexandria database describes AgRh at its PBEsol-relaxed geometry. The functional is SCAN.

N(E_F) = 0.75 states/eV per atom
final energy = -258.2 eV/cell
theoretical density = 11.72 g/cm3
ΔE_f = 0.29 eV/atom

abc: 3.956 3.956 7.634
angles: 90.00 90.00 90.00
Sites, in units of the cell vectors:
Ag 0.000 0.250 0.375
Ag 0.000 0.750 0.625
Ag 0.500 0.250 0.125
Ag 0.500 0.750 0.875
Rh 0.000 0.250 0.875
Rh 0.000 0.750 0.125
Rh 0.500 0.250 0.625
Rh 0.500 0.750 0.375

This record from the Alexandria database describes Na2Mg3H10S3O18 at its PBEsol-relaxed geometry. The functional is SCAN.

N(E_F) = 0.00 states/eV per atom
final energy = -524.3 eV/cell
theoretical density = 2.47 g/cm3

abc: 10.478 10.478 9.791
angles: 90.00 90.00 40.00
Sites, in units of the cell vectors:
Na 0.209 0.256 0.000
Na 0.256 0.209 0.500
Na 0.744 0.791 0.000
Na 0.791 0.744 0.500
Mg 0.214 0.786 0.211
Mg 0.337 0.505 0.505
Mg 0.495 0.663 0.505
Mg 0.505 0.337 0.005
Mg 0.663 0.495 0.005
Mg 0.786 0.214 0.711
H 0.020 0.707 0.679
H 0.027 0.546 0.784
H 0.042 0.139 0.078
H 0.111 0.608 0.865
H 0.139 0.042 0.578
H 0.154 0.846 0.453
H 0.293 0.980 0.679
H 0.392 0.889 0.865
H 0.444 0.556 0.716
H 0.454 0.973 0.784
H 0.546 0.027 0.284
H 0.556 0.444 0.216
H 0.608 0.111 0.365
H 0.707 0.020 0.179
H 0.846 0.154 0.953
H 0.861 0.958 0.078
H 0.889 0.392 0.365
H 0.958 0.861 0.578
H 0.973 0.454 0.284
H 0.980 0.293 0.179
S 0.150 0.529 0.214
S 0.208 0.792 0.891
S 0.471 0.850 0.214
S 0.529 0.150 0.714
S 0.792 0.208 0.391
S 0.850 0.471 0.714
O 0.010 0.346 0.336
O 0.017 0.430 0.683
O 0.042 0.720 0.583
O 0.083 0.714 0.198
O 0.088 0.912 0.017
O 0.088 0.912 0.771
O 0.220 0.454 0.357
O 0.272 0.607 0.892
O 0.279 0.721 0.412
O 0.280 0.958 0.583
O 0.286 0.917 0.198
O 0.313 0.376 0.116
O 0.346 0.010 0.836
O 0.376 0.313 0.616
O 0.393 0.728 0.892
O 0.430 0.017 0.183
O 0.454 0.220 0.857
O 0.483 0.517 0.132
O 0.517 0.483 0.632
O 0.546 0.780 0.357
O 0.570 0.983 0.683
O 0.607 0.272 0.392
O 0.624 0.687 0.116
O 0.654 0.990 0.336
O 0.687 0.624 0.616
O 0.714 0.083 0.698
O 0.720 0.042 0.083
O 0.721 0.279 0.912
O 0.728 0.393 0.392
O 0.780 0.546 0.857
O 0.912 0.088 0.271
O 0.912 0.088 0.517
O 0.917 0.286 0.698
O 0.958 0.280 0.083
O 0.983 0.570 0.183
O 0.990 0.654 0.836